Entry 1:
VASP calculation (GGA-PBE) on a relaxed PdN2Cl crystal.

The structure belongs to space group Fm-3m (No. 225); the cell edges are 5.647, 5.647 and 5.647 Å and the angles 90.00°, 90.00° and 90.00°. The distinct sites, in fractional coordinates, are Pd at (0.000, 0.000, 0.000), N at (0.250, 0.250, 0.250) and Cl at (0.000, 0.000, 0.500).

The value obtained for the formation energy from raw total energies is 9.46 eV per formula unit. The energy above the most stable polymorph in this dataset comes out at 220.7 kJ per mole of atoms.



Entry 2:
VASP calculation (GGA-PBE) on a relaxed PdN2Cl crystal.

The structure belongs to space group I-42d (No. 122); the cell edges are 5.524, 5.524 and 8.260 Å and the angles 90.00°, 90.00° and 90.00°. The distinct sites, in fractional coordinates, are Pd at (0.000, 0.000, 0.000), N at (0.164, 0.250, 0.125) and Cl at (0.000, 0.000, 0.500).

The value obtained for the formation energy from raw total energies is 6.49 eV per formula unit. The energy above the most stable polymorph in this dataset comes out at 149.0 kJ per mole of atoms.



Entry 3:
VASP calculation (GGA-PBE) on a relaxed PdRhN2Cl crystal.

The structure belongs to space group P4/mmm (No. 123); the cell edges are 3.745, 3.745 and 7.050 Å and the angles 90.00°, 90.00° and 90.00°. The distinct sites, in fractional coordinates, are Pd at (0.000, 0.000, 0.000), Rh at (0.500, 0.500, 0.500), N at (0.000, 0.500, 0.000) and Cl at (0.000, 0.000, 0.500).

The value obtained for the formation energy from raw total energies is 8.16 eV per formula unit.



Copy entry 1 word for word.
VASP calculation (GGA-PBE) on a relaxed PdN2Cl crystal.

The structure belongs to space group Fm-3m (No. 225); the cell edges are 5.647, 5.647 and 5.647 Å and the angles 90.00°, 90.00° and 90.00°. The distinct sites, in fractional coordinates, are Pd at (0.000, 0.000, 0.000), N at (0.250, 0.250, 0.250) and Cl at (0.000, 0.000, 0.500).

The value obtained for the formation energy from raw total energies is 9.46 eV per formula unit. The energy above the most stable polymorph in this dataset comes out at 220.7 kJ per mole of atoms.



Q: Which of these has the highest formation energy from raw total energies?
A: number 1



Q: What is the formula in the second record?
A: PdN2Cl



Q: Which formula does entry 2 have?
A: PdN2Cl